Density functional theory data (PBE-GGA) for a relaxed Ac7PrNd3 crystal.

a = 9.1507 Å, b = 9.1507 Å, c = 6.4719 Å
α = 110.65°, β = 110.65°, γ = 86.20°
With the nearest neighbours (Å) after each atom.
Fractional positions:
Ac 0.0000 0.0000 0.0000  2 Pr 3.24
Ac 0.1026 0.5181 0.3102  2 Nd 3.42-3.77, 2 Ac 3.69
Ac 0.2973 0.2973 0.7979  1 Pr 3.48, 2 Nd 3.54, 2 Ac 3.87
Ac 0.4819 0.8974 0.6898  2 Nd 3.42-3.77, 2 Ac 3.69
Ac 0.5181 0.1026 0.3102  2 Nd 3.42-3.77, 2 Ac 3.69
Ac 0.7027 0.7027 0.2021  1 Pr 3.48, 2 Nd 3.54, 2 Ac 3.87
Ac 0.8974 0.4819 0.6898  2 Nd 3.42-3.77, 2 Ac 3.69
Pr 0.0000 0.0000 0.5000  4 Ac 3.24-3.48
Nd 0.2899 0.7101 0.0000  9 Ac 3.54-3.93
Nd 0.5000 0.5000 0.5000  4 Ac 3.42
Nd 0.7101 0.2899 0.0000  9 Ac 3.54-3.93

Summary:
- energy of formation (eV per atom) = 0.234
- E (eV/atom) = -4.115
- space group = C2/m (12)

Density functional theory data (PBE-GGA) for a relaxed Er5TeP4 crystal.

a = 10.7291 Å, b = 10.7291 Å, c = 10.7291 Å
α = 158.45°, β = 148.96°, γ = 38.10°
With the nearest neighbours (Å) after each atom.
Fractional positions:
Er 0.0000 0.0000 0.0000  4 P 2.85, 2 Te 2.87
Er 0.1981 0.1981 0.0000  6 P 2.82-2.87
Er 0.3857 0.3857 0.0000  4 P 2.71-2.89
Er 0.6143 0.6143 0.0000  4 P 2.71-2.89
Er 0.8019 0.8019 0.0000  6 P 2.82-2.87
Te 0.5000 0.0000 0.5000  6 Er 2.87-3.07
P 0.0997 0.5997 0.5000  6 Er 2.83-2.89
P 0.2957 0.7957 0.5000  6 Er 2.71-2.87
P 0.7043 0.2043 0.5000  6 Er 2.71-2.87
P 0.9003 0.4003 0.5000  6 Er 2.83-2.89

Summary:
- E (eV/atom) = -6.315
- space group = Immm (71)
- formation energy from raw total energies (meV/atom) = -1556

Density functional theory data (PBE-GGA) for a relaxed Ta2Nb2Ru crystal.

a = 5.2653 Å, b = 5.2653 Å, c = 7.3535 Å
α = 103.89°, β = 103.89°, γ = 106.34°
With the nearest neighbours (Å) after each atom.
Fractional positions:
Ta 0.0295 0.6511 0.7855  2 Ru 2.63-2.68, 2 Nb 2.81-2.86
Ta 0.3489 0.9705 0.2145  2 Ru 2.63-2.68, 2 Nb 2.81-2.86
Ta 0.6511 0.0295 0.7855  2 Ru 2.63-2.68, 2 Nb 2.81-2.86
Ta 0.9705 0.3489 0.2145  2 Ru 2.63-2.68, 2 Nb 2.81-2.86
Nb 0.2501 0.2501 0.9384  6 Ta 2.81-2.99, 3 Nb 2.85-3.09
Nb 0.4026 0.4026 0.6223  2 Nb 2.55-2.85, 2 Ru 2.71
Nb 0.5974 0.5974 0.3777  2 Nb 2.55-2.85, 2 Ru 2.71
Nb 0.7499 0.7499 0.0616  6 Ta 2.81-2.99, 3 Nb 2.85-3.09
Ru 0.1646 0.8354 0.5000  4 Ta 2.63-2.68, 2 Nb 2.71, 1 Ru 2.78
Ru 0.8354 0.1646 0.5000  4 Ta 2.63-2.68, 2 Nb 2.71, 1 Ru 2.78

Summary:
- energy of formation (eV per atom) = 0.100
- E (eV/atom) = -10.524
- space group = C2/m (12)

Density functional theory data (PBE-GGA) for a relaxed SmTm3Cd crystal.

a = 6.7003 Å, b = 6.7003 Å, c = 12.4874 Å
α = 93.52°, β = 93.52°, γ = 31.41°
With the nearest neighbours (Å) after each atom.
Fractional positions:
Sm 0.2348 0.2348 0.2541  2 Cd 3.29, 8 Tm 3.52-3.65, 2 Sm 3.63
Sm 0.7652 0.7652 0.7459  2 Cd 3.29, 8 Tm 3.52-3.65, 2 Sm 3.63
Tm 0.0348 0.0348 0.6878  2 Cd 3.21, 5 Tm 3.43-3.49, 3 Sm 3.52-3.60
Tm 0.1464 0.1464 0.9479  4 Cd 3.17-3.24, 3 Tm 3.42-3.47, 2 Sm 3.53
Tm 0.3659 0.3659 0.5212  9 Tm 3.43-3.63, 3 Sm 3.64-3.65
Tm 0.6341 0.6341 0.4788  9 Tm 3.43-3.63, 3 Sm 3.64-3.65
Tm 0.8536 0.8536 0.0521  4 Cd 3.17-3.24, 3 Tm 3.42-3.47, 2 Sm 3.53
Tm 0.9652 0.9652 0.3122  2 Cd 3.21, 5 Tm 3.43-3.49, 3 Sm 3.52-3.60
Cd 0.4466 0.4466 0.8739  6 Tm 3.17-3.24, 2 Sm 3.29, 1 Cd 3.36
Cd 0.5534 0.5534 0.1261  6 Tm 3.17-3.24, 2 Sm 3.29, 1 Cd 3.36

Summary:
- energy of formation (eV per atom) = -0.102
- E (eV/atom) = -3.912
- space group = C2/m (12)

Density functional theory data (PBE-GGA) for a relaxed PtO crystal.

a = 5.6290 Å, b = 5.6290 Å, c = 5.6290 Å
α = 109.47°, β = 109.47°, γ = 109.47°
With the nearest neighbours (Å) after each atom.
Fractional positions:
Pt 0.0000 0.0000 0.3888  1 O 1.93
Pt 0.0000 0.3888 0.0000  1 O 1.93
Pt 0.3888 0.0000 0.0000  1 O 1.93
Pt 0.6112 0.6112 0.6112  1 O 1.93
O 0.0000 0.0000 0.7312  1 Pt 1.93
O 0.0000 0.7312 0.0000  1 Pt 1.93
O 0.2688 0.2688 0.2688  1 Pt 1.93
O 0.7312 0.0000 0.0000  1 Pt 1.93

Summary:
- E (eV/atom) = -5.025
- space group = I-43m (217)
- formation energy from raw total energies (meV/atom) = 475

Density functional theory data (PBE-GGA) for a relaxed ScHgRu crystal.

a = 7.2007 Å, b = 7.2007 Å, c = 7.2007 Å
α = 154.61°, β = 133.78°, γ = 53.47°
With the nearest neighbours (Å) after each atom.
Fractional positions:
Sc 0.1898 0.1898 0.0000  4 Ru 2.61-2.87
Sc 0.8102 0.8102 0.0000  4 Ru 2.61-2.87
Hg 0.2447 0.5000 0.7447  2 Hg 2.77-2.89, 4 Ru 2.88
Hg 0.7553 0.5000 0.2553  2 Hg 2.77-2.89, 4 Ru 2.88
Ru 0.3509 0.8509 0.5000  4 Sc 2.61-2.87, 4 Hg 2.88
Ru 0.6491 0.1491 0.5000  4 Sc 2.61-2.87, 4 Hg 2.88

Summary:
- energy of formation (eV per atom) = -0.043
- E (eV/atom) = -5.346
- space group = Immm (71)

Density functional theory data (PBE-GGA) for a relaxed Sc2SiRu crystal.

a = 9.0625 Å, b = 9.0625 Å, c = 9.0625 Å
α = 19.63°, β = 19.63°, γ = 19.63°
With the nearest neighbours (Å) after each atom.
Fractional positions:
Sc 0.0885 0.0885 0.0885  1 Ru 2.36
Sc 0.9115 0.9115 0.9115  1 Ru 2.36
Si 0.5000 0.5000 0.5000  6 Sc 2.74
Ru 0.0000 0.0000 0.0000  2 Sc 2.36

Summary:
- E (eV/atom) = -6.804
- space group = R-3m (166)
- formation energy from raw total energies (meV/atom) = 36

Density functional theory data (PBE-GGA) for a relaxed Sr2AcHfO6 crystal.

a = 6.0287 Å, b = 6.2558 Å, c = 10.5357 Å
α = 90.00°, β = 124.76°, γ = 90.00°
With the nearest neighbours (Å) after each atom.
Fractional positions:
Sr 0.2400 0.0476 0.2563  5 O 2.51-2.75
Sr 0.2400 0.4524 0.7563  5 O 2.51-2.75
Sr 0.7600 0.5476 0.2437  5 O 2.51-2.75
Sr 0.7600 0.9524 0.7437  5 O 2.51-2.75
Ac 0.5000 0.0000 0.0000  6 O 2.42-2.49
Ac 0.5000 0.5000 0.5000  6 O 2.42-2.49
Hf 0.0000 0.0000 0.5000  6 O 2.09-2.11
Hf 0.0000 0.5000 0.0000  6 O 2.09-2.11
O 0.1066 0.2272 0.9277  1 Hf 2.11
O 0.1066 0.2728 0.4277  1 Hf 2.11
O 0.2296 0.6833 0.9487  1 Hf 2.09
O 0.2296 0.8167 0.4487  1 Hf 2.09
O 0.3411 0.0575 0.7266  1 Hf 2.11
O 0.3411 0.4425 0.2266  1 Hf 2.11
O 0.6589 0.5575 0.7734  1 Hf 2.11
O 0.6589 0.9425 0.2734  1 Hf 2.11
O 0.7704 0.1833 0.5513  1 Hf 2.09
O 0.7704 0.3167 0.0513  1 Hf 2.09
O 0.8934 0.7272 0.5723  1 Hf 2.11
O 0.8934 0.7728 0.0723  1 Hf 2.11

Summary:
- E (eV/atom) = -7.690
- space group = P2_1/c (14)
- formation energy from raw total energies (meV/atom) = -2973